Entry 1:
Computed, not measured: a geometry-optimized Pu6P4H5 structure at the PBE level of DFT.

```
Pu6P4H5
1.0
3.900 0.000 0.000
-1.950 8.616 0.000
0.000 0.000 14.298
Pu P H
12 8 10
Direct
0.789 0.577 0.258
0.427 0.854 0.399
0.790 0.581 0.994
0.210 0.419 0.494
0.429 0.858 0.852
0.571 0.142 0.352
0.432 0.864 0.129
0.568 0.136 0.629
0.113 0.227 0.127
0.887 0.773 0.627
0.573 0.146 0.899
0.211 0.423 0.758
0.972 0.944 0.263
0.028 0.056 0.763
0.180 0.360 0.302
0.820 0.640 0.802
0.819 0.638 0.450
0.181 0.362 0.950
0.022 0.044 0.496
0.978 0.956 0.996
0.437 0.875 0.676
0.563 0.125 0.176
0.143 0.286 0.626
0.857 0.714 0.126
0.645 0.291 0.499
0.355 0.709 0.999
0.296 0.592 0.626
0.704 0.408 0.126
0.353 0.706 0.258
0.647 0.294 0.758
```

Energy (eV/atom): -9.026

Entry 2:
Computed, not measured: a geometry-optimized Ca2LaTe structure at the PBE level of DFT.

```
Ca2LaTe
1.0
-0.943 6.110 -0.854
-4.315 -3.663 -2.628
-2.148 0.135 3.339
Ca Te La
2 1 1
Direct
0.000 0.000 0.000
0.500 0.500 0.000
0.000 0.500 0.500
0.500 0.000 0.500
```

Energy (eV/atom): -3.437

Entry 3:
Computed, not measured: a geometry-optimized YCo2Br structure at the PBE level of DFT.

```
YCo2Br
1.0
3.438 0.000 0.000
0.000 3.438 -0.301
0.000 -1.079 7.280
Br Co Y
1 2 1
Direct
0.500 0.040 0.708
0.000 0.771 0.165
0.500 0.269 0.162
0.000 0.420 0.465
```

Offset from the most stable computed form (meV per atom): 131.1

Entry 4:
Computed, not measured: a geometry-optimized LiMg3Hg2 structure at the PBE level of DFT.

```
LiMg3Hg2
1.0
4.721 0.000 0.000
-2.361 7.828 -1.351
0.000 -4.576 7.641
Li Mg Hg
2 6 4
Direct
0.887 0.775 0.822
0.113 0.225 0.178
0.353 0.706 0.583
0.037 0.074 0.715
0.714 0.427 0.849
0.286 0.573 0.151
0.963 0.926 0.285
0.647 0.294 0.417
0.576 0.152 0.953
0.424 0.848 0.047
0.808 0.616 0.360
0.192 0.384 0.640
```

Offset from the most stable computed form (meV per atom): 35.2
E_form (eV per atom): -0.2173

Entry 5:
Computed, not measured: a geometry-optimized CsMg2CdAu structure at the PBE level of DFT.

```
CsMg2CdAu
1.0
-5.029 -1.506 1.022
1.116 -0.181 5.227
-1.480 5.279 0.499
Cs Mg Au Cd
1 2 1 1
Direct
0.500 0.500 0.500
0.000 0.500 0.000
0.500 0.000 0.000
0.000 0.000 0.000
0.000 0.000 0.500
```

E_form (eV per atom): -0.1239

Entry 6:
Computed, not measured: a geometry-optimized BaRe2As2 structure at the PBE level of DFT.

```
BaRe2As2
1.0
4.007 0.000 0.000
0.000 4.007 0.000
2.004 2.004 6.883
Re As Ba
2 2 1
Direct
0.750 0.250 0.500
0.250 0.750 0.500
0.362 0.362 0.277
0.638 0.638 0.723
0.000 0.000 0.000
```

Offset from the most stable computed form (meV per atom): 0.0
E_form (eV per atom): -0.2420

Entry 7:
Computed, not measured: a geometry-optimized RbPSCl2 structure at the PBE level of DFT.

```
RbPSCl2
1.0
-1.716 5.301 -2.125
-3.840 0.572 4.527
2.945 1.860 2.263
P S Rb Cl
1 1 1 2
Direct
0.000 0.000 0.500
0.000 0.000 0.000
0.500 0.500 0.500
0.000 0.500 0.000
0.500 0.000 0.000
```

Offset from the most stable computed form (meV per atom): 399.5

Entry 8:
Computed, not measured: a geometry-optimized FeNiIr2 structure at the PBE level of DFT.

```
FeNiIr2
1.0
-8.509 0.539 -1.164
-8.087 -1.877 -2.263
-8.436 -1.651 0.392
Fe Ir Ni
1 2 1
Direct
0.753 0.753 0.753
0.003 0.003 0.003
0.247 0.247 0.247
0.497 0.497 0.497
```

Offset from the most stable computed form (meV per atom): 93.8
E_form (eV per atom): 0.0529

Entry 9:
Computed, not measured: a geometry-optimized CaHg5Pd6 structure at the PBE level of DFT.

```
CaHg5Pd6
1.0
-4.540 0.083 1.899
0.952 -5.611 2.521
6.233 3.061 4.460
Ca Hg Pd
1 5 6
Direct
0.000 0.000 0.000
0.672 0.500 0.330
0.325 0.000 0.673
0.000 0.500 0.000
0.675 0.000 0.327
0.328 0.500 0.670
0.817 0.746 0.659
0.817 0.254 0.659
0.500 0.260 0.000
0.500 0.740 0.000
0.183 0.746 0.341
0.183 0.254 0.341
```

E_form (eV per atom): -0.2892

Entry 10:
Computed, not measured: a geometry-optimized SiNiPb2 structure at the PBE level of DFT.

```
SiNiPb2
1.0
-6.283 1.668 -2.467
-6.462 -1.370 2.169
6.397 2.264 1.514
Ni Pb Si
1 2 1
Direct
0.329 0.829 0.500
0.006 0.006 0.000
0.743 0.243 0.500
0.422 0.422 0.000
```

Offset from the most stable computed form (meV per atom): 249.4

Entry 11:
Computed, not measured: a geometry-optimized Nd7Sm2Sc2 structure at the PBE level of DFT.

```
Nd7Sm2Sc2
1.0
0.467 -4.495 -6.889
6.586 1.292 -1.557
0.164 -6.237 2.921
Nd Sm Sc
7 2 2
Direct
0.179 0.085 0.514
0.821 0.486 0.915
0.821 0.915 0.486
0.179 0.514 0.085
0.000 0.000 0.000
0.482 0.800 0.800
0.518 0.200 0.200
0.817 0.420 0.420
0.183 0.580 0.580
0.500 0.288 0.712
0.500 0.712 0.288
```

Offset from the most stable computed form (meV per atom): 0.0
E_form (eV per atom): 0.1370

Entry 12:
Computed, not measured: a geometry-optimized MnAu4 structure at the PBE level of DFT.

```
MnAu4
1.0
4.920 0.000 0.000
0.000 4.752 -1.598
0.000 0.039 7.534
Mn Au
2 8
Direct
0.000 0.000 0.000
0.500 0.500 0.500
0.001 0.599 0.197
0.501 0.901 0.303
0.999 0.401 0.803
0.499 0.099 0.697
0.999 0.795 0.603
0.499 0.705 0.897
0.001 0.205 0.397
0.501 0.295 0.103
```

Offset from the most stable computed form (meV per atom): 48.0
E_form (eV per atom): -0.0300

Entry 13:
Computed, not measured: a geometry-optimized AlPbIN2 structure at the PBE level of DFT.

```
AlPbIN2
1.0
4.155 0.000 0.000
0.000 4.155 0.000
0.000 0.000 5.766
Pb I Al N
1 1 1 2
Direct
0.500 0.500 0.500
0.000 0.000 0.500
0.000 0.000 0.000
0.000 0.500 0.000
0.500 0.000 0.000
```

Offset from the most stable computed form (meV per atom): 0.0

Entry 14:
Computed, not measured: a geometry-optimized ScOs structure at the PBE level of DFT.

```
ScOs
1.0
4.404 0.000 0.000
-2.202 3.814 0.000
0.000 0.000 4.882
Os Sc
2 2
Direct
0.000 0.000 0.000
0.000 0.000 0.500
0.333 0.667 0.250
0.667 0.333 0.750
```

E_form (eV per atom): -0.1480

Entry 15:
Computed, not measured: a geometry-optimized ThNb5 structure at the PBE level of DFT.

```
ThNb5
1.0
3.416 0.000 0.000
0.000 4.775 0.000
0.000 -2.388 7.354
Nb Th
5 1
Direct
0.000 0.672 0.345
0.000 0.328 0.655
0.500 0.500 0.000
0.500 0.175 0.349
0.500 0.825 0.651
0.000 0.000 0.000
```

E_form (eV per atom): 0.1564

Entry 16:
Computed, not measured: a geometry-optimized Na2Bi2I structure at the PBE level of DFT.

```
Na2Bi2I
1.0
-2.423 -2.877 2.378
3.730 -1.761 1.670
0.372 3.588 8.883
I Na Bi
1 2 2
Direct
0.000 0.000 0.000
0.400 0.400 0.200
0.600 0.600 0.800
0.750 0.250 0.500
0.250 0.750 0.500
```

Offset from the most stable computed form (meV per atom): 0.0

Entry 17:
Computed, not measured: a geometry-optimized TcPt5 structure at the PBE level of DFT.

```
TcPt5
1.0
0.000 3.688 3.688
3.688 0.000 3.688
3.688 3.688 0.000
Tc Pt
1 5
Direct
0.000 0.000 0.000
0.625 0.625 0.125
0.250 0.250 0.250
0.625 0.625 0.625
0.125 0.625 0.625
0.625 0.125 0.625
```

Offset from the most stable computed form (meV per atom): 440.8
E_form (eV per atom): 0.3243

Entry 18:
Computed, not measured: a geometry-optimized ScPaTcMo structure at the PBE level of DFT.

```
ScPaTcMo
1.0
4.732 0.000 0.000
2.366 4.098 0.000
2.366 1.366 3.863
Sc Mo Pa Tc
1 1 1 1
Direct
0.000 0.000 0.000
0.750 0.750 0.750
0.500 0.500 0.500
0.250 0.250 0.250
```

E_form (eV per atom): -0.1620

Entry 19:
Computed, not measured: a geometry-optimized MnV structure at the PBE level of DFT.

```
MnV
1.0
4.765 0.000 0.000
0.000 4.765 0.000
0.000 0.000 4.756
Mn V
4 4
Direct
0.297 0.297 0.000
0.797 0.203 0.500
0.203 0.797 0.500
0.703 0.703 0.000
0.208 0.792 0.000
0.708 0.708 0.500
0.292 0.292 0.500
0.792 0.208 0.000
```

E_form (eV per atom): 0.5460

Entry 20:
Computed, not measured: a geometry-optimized Pr6Co2HgBr3 structure at the PBE level of DFT.

```
Pr6Co2HgBr3
1.0
-4.030 0.268 -0.577
0.475 -6.687 -6.421
0.447 -4.409 9.257
Pr Co Hg Br
6 2 1 3
Direct
0.335 0.863 0.671
0.685 0.569 0.370
0.665 0.137 0.329
0.035 0.270 0.070
0.965 0.730 0.930
0.315 0.431 0.630
0.828 0.651 0.655
0.172 0.349 0.345
0.500 0.000 0.000
0.500 0.500 0.000
0.831 0.158 0.663
0.169 0.842 0.337
```

Energy (eV/atom): -4.751

D(E_F) / states/eV/f.u.: 44.8, 3.9, 2.5, 1.8, 2.3, 3.7, 4.4, 4.9, 3.5, 2.0, 17.1, 1.9, 2.6, 0.7, 8.8, 1.3, 9.0, 3.7, 1.9, 7.4